VASP calculation (GGA-PBE) on a relaxed structure of BaWSe2.

Summary:
Calculated total energy in eV/atom: -5.36
Energy above the lowest structure with this stoichiometry in eV/f.u.: 2.45
Formation energy (no corrections) in kJ per mole of atoms: 10.0

Lattice parameters (Å, degrees): 3.3637 3.3637 9.3208 90.00 90.00 90.00
Positions (direct):
Ba 0.0000 0.0000 0.0000
W 0.5000 0.5000 0.7051
Se 0.0000 0.0000 0.5951
Se 0.5000 0.5000 0.2431

***

VASP calculation (GGA-PBE) on a relaxed structure of La2Mg2Pt15.

Summary:
Calculated total energy in eV/atom: -6.10
Energy relative to the elements in meV/atom: -642

Lattice parameters (Å, degrees): 7.0440 7.0440 7.0440 82.75 82.75 82.75
Positions (direct):
La 0.1507 0.1507 0.1507
La 0.8493 0.8493 0.8493
Mg 0.3992 0.3992 0.3992
Mg 0.6008 0.6008 0.6008
Pt 0.0000 0.5000 0.5000
Pt 0.1568 0.1568 0.6564
Pt 0.1568 0.6564 0.1568
Pt 0.1908 0.5000 0.8092
Pt 0.1908 0.8092 0.5000
Pt 0.3436 0.8432 0.8432
Pt 0.5000 0.0000 0.5000
Pt 0.5000 0.1908 0.8092
Pt 0.5000 0.5000 0.0000
Pt 0.5000 0.8092 0.1908
Pt 0.6564 0.1568 0.1568
Pt 0.8092 0.1908 0.5000
Pt 0.8092 0.5000 0.1908
Pt 0.8432 0.3436 0.8432
Pt 0.8432 0.8432 0.3436

***

VASP calculation (GGA-PBE) on a relaxed structure of CeNd2Y3Se6.

Summary:
Calculated total energy in eV/atom: -6.45
Formation energy (no corrections) in kJ per mole of atoms: -174.2

Lattice parameters (Å, degrees): 9.3192 9.3192 8.3941 103.91 103.91 25.54
Positions (direct):
Ce 0.0000 0.0000 0.0000
Nd 0.3339 0.3339 0.6679
Nd 0.6661 0.6661 0.3321
Y 0.0000 0.0000 0.5000
Y 0.3323 0.3323 0.1651
Y 0.6677 0.6677 0.8349
Se 0.1641 0.1641 0.5910
Se 0.1689 0.1689 0.0758
Se 0.4966 0.4966 0.2561
Se 0.5034 0.5034 0.7439
Se 0.8311 0.8311 0.9242
Se 0.8359 0.8359 0.4090

***

VASP calculation (GGA-PBE) on a relaxed structure of Ac2La2Tl3.

Summary:
Calculated total energy in eV/atom: -3.88
Energy above the lowest structure with this stoichiometry in eV/f.u.: 0.00
Energy relative to the elements in meV/atom: -280

Lattice parameters (Å, degrees): 4.4859 6.6040 8.5666 84.56 89.99 70.15
Positions (direct):
Ac 0.0666 0.3658 0.2059
Ac 0.9334 0.6342 0.7941
La 0.2006 0.0982 0.6534
La 0.7994 0.9018 0.3466
Tl 0.3404 0.8187 0.0624
Tl 0.5000 0.5000 0.5000
Tl 0.6596 0.1813 0.9376

***

Which of these has the highest calculated total energy? Ac2La2Tl3